Entry from Alexandria via LeMat-Bulk: crystalline ZnCdTe2 at its relaxed geometry (PBE).

Cell: 3.6695 3.6706 7.4354 Å, 90.00 90.00 90.00°
Closest atoms and distances in Å follow each position.
Element x y z (fractional)
Te 0.0000 0.0000 0.0153  4 Zn 3.13, 4 Cd 3.26, 1 Te 3.49
Te 0.0000 0.0000 0.4847  4 Zn 3.13, 4 Cd 3.26, 1 Te 3.49
Zn 0.5000 0.5000 0.2500  8 Te 3.13
Cd 0.5000 0.5000 0.7500  8 Te 3.26

Computed properties:
- DOS at the Fermi energy (states/eV/atom) = 0.51
- uncorrected formation energy (eV per atom) = 0.14

---

Entry from Alexandria via LeMat-Bulk: crystalline ZnCdTe2 at its relaxed geometry (PBE).

Cell: 4.4950 4.4950 7.9777 Å, 90.00 90.00 126.92°
Closest atoms and distances in Å follow each position.
Element x y z (fractional)
Zn 0.5000 0.5000 0.2500  4 Te 2.74
Cd 0.5000 0.5000 0.7500  4 Te 2.92
Te 0.0000 0.0000 0.4841  2 Zn 2.74, 2 Cd 2.92
Te 0.0000 0.0000 0.0159  2 Zn 2.74, 2 Cd 2.92

Computed properties:
- DOS at the Fermi energy (states/eV/atom) = 0.43
- uncorrected formation energy (eV per atom) = -0.01

---

Entry from Alexandria via LeMat-Bulk: crystalline ZnCdTe2 at its relaxed geometry (PBE).

Cell: 6.4714 6.4714 6.4714 Å, 144.53 87.69 103.05°
Closest atoms and distances in Å follow each position.
Element x y z (fractional)
Zn 0.7500 0.2500 0.5000  4 Te 2.72
Te 0.9826 0.9826 0.0000  2 Zn 2.72, 2 Cd 2.92
Te 0.5174 0.5174 0.0000  2 Zn 2.72, 2 Cd 2.92
Cd 0.2500 0.7500 0.5000  4 Te 2.92

Computed properties:
- DOS at the Fermi energy (states/eV/atom) = 0.40
- uncorrected formation energy (eV per atom) = -0.01

---

Entry from Alexandria via LeMat-Bulk: crystalline ZnCdTe2 at its relaxed geometry (PBE).

Cell: 7.7291 7.7291 6.5041 Å, 53.55 53.55 90.00°
Closest atoms and distances in Å follow each position.
Element x y z (fractional)
Zn 0.2500 0.7500 0.5000  4 Te 2.71
Zn 0.7500 0.2500 0.5000  4 Te 2.71
Cd 0.7500 0.7500 0.5000  8 Te 3.32, 2 Cd 3.53
Cd 0.2500 0.2500 0.5000  8 Te 3.32, 2 Cd 3.53
Te 0.8121 0.3121 0.0000  2 Zn 2.71
Te 0.1879 0.6879 0.0000  2 Zn 2.71
Te 0.6879 0.8121 0.0000  2 Zn 2.71
Te 0.3121 0.1879 0.0000  2 Zn 2.71

Computed properties:
- DOS at the Fermi energy (states/eV/atom) = 0.18
- uncorrected formation energy (eV per atom) = -0.11

---

Entry from Alexandria via LeMat-Bulk: crystalline ZrCdTe2 at its relaxed geometry (PBE).

Cell: 10.4680 10.4680 10.4680 Å, 21.61 21.61 21.61°
Closest atoms and distances in Å follow each position.
Element x y z (fractional)
Te 0.1073 0.1073 0.1073  3 Zr 2.91
Te 0.8927 0.8927 0.8927  3 Zr 2.91
Cd 0.0000 0.0000 0.0000  2 Te 3.29
Zr 0.5000 0.5000 0.5000  6 Te 2.91

Computed properties:
- DOS at the Fermi energy (states/eV/atom) = 0.22
- uncorrected formation energy (eV per atom) = -0.54

---

Entry from Alexandria via LeMat-Bulk: crystalline ZrCdTe2 at its relaxed geometry (PBE).

Cell: 6.3911 6.3911 4.3492 Å, 90.02 90.02 36.70°
Closest atoms and distances in Å follow each position.
Element x y z (fractional)
Te 0.9734 0.9734 0.8748  1 Cd 2.95, 4 Zr 3.13
Te 0.2404 0.2404 0.3752  4 Cd 2.96-2.97, 2 Zr 3.01
Cd 0.7306 0.7306 0.8752  5 Te 2.95-2.97, 2 Zr 3.04
Zr 0.5556 0.5556 0.3749  6 Te 3.01-3.13, 2 Cd 3.04

Computed properties:
- DOS at the Fermi energy (states/eV/atom) = 0.38
- uncorrected formation energy (eV per atom) = -0.52

---

Entry from Alexandria via LeMat-Bulk: crystalline ZrCdTe2 at its relaxed geometry (PBE).

Cell: 9.4669 9.4669 9.4669 Å, 24.63 24.63 24.63°
Closest atoms and distances in Å follow each position.
Element x y z (fractional)
Cd 0.5000 0.5000 0.5000  6 Te 2.97
Zr 0.0000 0.0000 0.0000  2 Te 2.75
Te 0.9002 0.9002 0.9002  1 Zr 2.75, 3 Cd 2.97
Te 0.0998 0.0998 0.0998  1 Zr 2.75, 3 Cd 2.97

Computed properties:
- DOS at the Fermi energy (states/eV/atom) = 0.63
- uncorrected formation energy (eV per atom) = 0.17

---

Entry from Alexandria via LeMat-Bulk: crystalline ZrCdTe at its relaxed geometry (PBE).

Cell: 4.8868 4.8868 3.8229 Å, 90.00 90.00 120.00°
Closest atoms and distances in Å follow each position.
Element x y z (fractional)
Cd 0.0000 0.0000 0.0001  6 Zr 3.41, 6 Te 3.41
Te 0.6667 0.3333 0.5008  3 Zr 2.82
Zr 0.3333 0.6667 0.4992  3 Te 2.82

Computed properties:
- ΔE to the lowest computed polymorph (kJ/mol of formula units) = 99
- DOS at the Fermi energy (states/eV/atom) = 0.96
- uncorrected formation energy (eV per atom) = -0.07

---

Q: Which value of DOS at the Fermi energy does entry 8 give?
A: 0.96 states/eV/atom

---

Q: What is the uncorrected formation energy in the third record?
A: -0.01 eV per atom

---

Q: What is the uncorrected formation energy in the fifth record?
A: -0.54 eV per atom